(1)
A plane-wave DFT calculation with PBE was carried out for crystalline PaGaPbO6 at its relaxed geometry.

The calculation puts the raw total energy at -7.229 eV/atom. The calculated density comes out at 8.361 g/cm³.

The structure belongs to space group P312 (No. 149); the cell edges are 5.3396, 5.3396 and 4.8581 Å and the angles 90.00°, 90.00° and 120.00°. Symmetry generates all atoms from Pa at (0.0000, 0.0000, 0.0000), Ga at (0.6667, 0.3333, 0.5000), Pb at (0.3333, 0.6667, 0.5000) and O at (0.3491, 0.0235, 0.7370).

---

(2)
A plane-wave DFT calculation with PBE was carried out for crystalline RbPr2PtO5 at its relaxed geometry.

The calculation puts the raw total energy at -6.628 eV/atom. The calculated density comes out at 7.248 g/cm³.

The structure belongs to space group I4/mcm (No. 140); the cell edges are 6.922, 6.922 and 12.286 Å and the angles 90.00°, 90.00° and 90.00°. Symmetry generates all atoms from Rb at (0.000, 0.000, 0.250), Pr at (0.177, 0.323, 0.000), Pt at (0.000, 0.500, 0.250), O at (0.000, 0.000, 0.000) and O at (0.126, 0.374, 0.382).

---

(3)
A plane-wave DFT calculation with PBE was carried out for crystalline Sm8AsSe3S4 at its relaxed geometry.

The calculation puts the raw total energy at -6.238 eV/atom. The calculated density comes out at 6.994 g/cm³.

The structure belongs to space group R-3m (No. 166, hexagonal axes); the cell edges are 8.1814, 8.1814 and 20.1885 Å and the angles 90.00°, 90.00° and 120.00°. Symmetry generates all atoms from Sm at (0.0000, 0.0000, 0.2415), Sm at (0.0084, 0.5042, 0.7559), As at (0.0000, 0.0000, 0.0000), Se at (0.0000, 0.5000, 0.0000), S at (0.0000, 0.0000, 0.5000) and S at (0.0000, 0.5000, 0.5000).